Ba2Al2Pt, relaxed, DFT PBE; formation energy = -0.5784 eV/atom; magnetic moment = 0.74 μB/cell; distance to the lowest polymorph of the same formula = 0.0 meV/atom
1.0
-3.8581 1.4121 -1.3419
-3.1910 0.6056 2.8514
0.7480 10.4554 1.8920
Al Ba Pt
2 2 1
Direct
0.3130 0.3130 0.0610
0.6870 0.6870 0.9390
0.4297 0.4297 0.7110
0.5703 0.5703 0.2890
0.0000 0.0000 0.0000